Record 1
Density functional theory data (PBE) for an optimized crystal structure of PmSi2Se4.

POSCAR file:
```
PmSi2Se4
1.0
-3.813 3.813 3.243
3.813 -3.813 3.243
3.813 3.813 -3.243
Pm Si Se
1 2 4
Direct
0.000 0.000 0.000
0.250 0.750 0.500
0.750 0.250 0.500
0.189 0.664 0.853
0.336 0.189 0.526
0.664 0.811 0.474
0.811 0.336 0.147
```

Computed properties:
E_tot	-4.6178	eV/atom
E_form (uncorrected)	-399	meV per atom

Record 2
Density functional theory data (PBE) for an optimized crystal structure of Pr7Tl2Hg.

POSCAR file:
```
Pr7Tl2Hg
1.0
5.453 0.000 0.000
-2.727 4.722 0.000
0.000 0.000 13.304
Pr Tl Hg
7 2 1
Direct
0.000 0.000 0.000
0.000 0.000 0.261
0.000 0.000 0.735
0.333 0.667 0.409
0.333 0.667 0.887
0.667 0.333 0.128
0.667 0.333 0.585
0.000 0.000 0.498
0.667 0.333 0.845
0.333 0.667 0.146
```

Computed properties:
E_tot	-3.9496	eV/atom

Repeat the second record exactly.
Density functional theory data (PBE) for an optimized crystal structure of Pr7Tl2Hg.

POSCAR file:
```
Pr7Tl2Hg
1.0
5.453 0.000 0.000
-2.727 4.722 0.000
0.000 0.000 13.304
Pr Tl Hg
7 2 1
Direct
0.000 0.000 0.000
0.000 0.000 0.261
0.000 0.000 0.735
0.333 0.667 0.409
0.333 0.667 0.887
0.667 0.333 0.128
0.667 0.333 0.585
0.000 0.000 0.498
0.667 0.333 0.845
0.333 0.667 0.146
```

Computed properties:
E_tot	-3.9496	eV/atom